# Rb4AgHg3 (PBE, optimized geometry)
# Raw total energy   -8.998 eV per formula unit
data_Rb4AgHg3
_chemical_formula_sum 'Rb4 Ag1 Hg3'
_space_group_name_H-M_alt 'P m m 2'
_space_group_IT_number 25
_space_group_name_Hall 'P 2 -2'
_cell_length_a 5.1393
_cell_length_b 5.2906
_cell_length_c 13.1056
_cell_angle_alpha 90.00
_cell_angle_beta 90.00
_cell_angle_gamma 90.00
loop_
_atom_site_label
_atom_site_type_symbol
_atom_site_fract_x
_atom_site_fract_y
_atom_site_fract_z
Rb1 Rb 0.0000 0.0000 0.0000
Rb2 Rb 0.0000 0.5000 0.4874
Rb3 Rb 0.5000 0.0000 0.7021
Rb4 Rb 0.5000 0.5000 0.2073
Ag1 Ag 0.0000 0.0000 0.2931
Hg1 Hg 0.0000 0.5000 0.7881
Hg2 Hg 0.5000 0.0000 0.4064
Hg3 Hg 0.5000 0.5000 0.9134



# RbAgHg (PBE, optimized geometry)
# Energy relative to the lowest polymorph listed for this composition   118 meV per atom
data_RbAgHg
_chemical_formula_sum 'Rb4 Ag4 Hg4'
_space_group_name_H-M_alt 'F -4 3 m'
_space_group_IT_number 216
_space_group_name_Hall 'F -4 2 3'
_cell_length_a 7.7267
_cell_length_b 7.7267
_cell_length_c 7.7267
_cell_angle_alpha 90.00
_cell_angle_beta 90.00
_cell_angle_gamma 90.00
loop_
_atom_site_label
_atom_site_type_symbol
_atom_site_fract_x
_atom_site_fract_y
_atom_site_fract_z
Rb1 Rb 0.0000 0.0000 0.0000
Ag1 Ag 0.2500 0.2500 0.2500
Hg1 Hg 0.0000 0.0000 0.5000



# Rb3Ag2Hg4 (PBE, optimized geometry)
# Raw total energy   -11.068 eV per formula unit
data_Rb3Ag2Hg4
_chemical_formula_sum 'Rb3 Ag2 Hg4'
_space_group_name_H-M_alt 'P -1'
_space_group_IT_number 2
_space_group_name_Hall '-P 1'
_cell_length_a 4.9963
_cell_length_b 6.8884
_cell_length_c 10.2187
_cell_angle_alpha 103.25
_cell_angle_beta 90.14
_cell_angle_gamma 111.20
loop_
_atom_site_label
_atom_site_type_symbol
_atom_site_fract_x
_atom_site_fract_y
_atom_site_fract_z
Rb1 Rb 0.0000 0.0000 0.0000
Rb2 Rb 0.3801 0.7585 0.6212
Ag1 Ag 0.3161 0.6340 0.2239
Hg1 Hg 0.0932 0.1852 0.6400
Hg2 Hg 0.2749 0.5467 0.9191